Entry 1:
A crystal of LiLaAl relaxed with PBEsol. Source: the Alexandria database, functional meta-GGA SCAN.

Lattice parameters (Å, degrees): 3.2397 4.9988 4.9988 120.00 90.00 90.00
With the nearest neighbours (Å) after each atom.
Fractional coordinates of all 3 atoms:
La1 0.0000 0.3333 0.6667  2 La 3.24, 6 Li 3.31, 6 Al 3.31
Al1 0.5000 0.0000 0.0000  3 Li 2.89
Li1 0.5000 0.6667 0.3333  3 Al 2.89

Summary:
Crystal system: hexagonal
ΔE_f: -0.218 eV/atom
SG: P-6m2
Total moment: 0.3 μB per formula unit

Entry 2:
A crystal of AlZnRh relaxed with PBEsol. Source: the Alexandria database, functional meta-GGA SCAN.

Lattice parameters (Å, degrees): 2.9185 3.3410 4.7088 110.78 108.05 90.00
With the nearest neighbours (Å) after each atom.
Fractional coordinates of all 3 atoms:
Al1 0.0085 0.0085 0.0170  4 Rh 2.55, 5 Zn 2.66-2.68
Rh1 0.6604 0.6604 0.3209  4 Al 2.55, 5 Zn 2.63-2.74
Zn1 0.3311 0.3311 0.6621  5 Rh 2.63-2.74, 5 Al 2.66-2.68, 2 Zn 2.92

Summary:
Crystal system: orthorhombic
ΔE_f: -0.710 eV/atom
Relative energy among the computed polymorphs: 0 meV per atom
SG: Imm2
Total moment: 0.0 μB per formula unit

Entry 3:
A crystal of GdAlSi relaxed with PBEsol. Source: the Alexandria database, functional meta-GGA SCAN.

Lattice parameters (Å, degrees): 4.0848 4.0848 7.7714 105.24 105.24 90.00
With the nearest neighbours (Å) after each atom.
Fractional coordinates of all 6 atoms:
Gd1 0.4988 0.9988 0.9977  6 Si 3.12-3.18, 6 Al 3.13-3.15
Gd2 0.2488 0.2488 0.4977  6 Si 3.12-3.18, 6 Al 3.13-3.15
Al1 0.8327 0.8327 0.6654  3 Si 2.38
Al2 0.0827 0.5827 0.1654  3 Si 2.38
Si1 0.9178 0.4178 0.8357  3 Al 2.38
Si2 0.6678 0.6678 0.3357  3 Al 2.38

Summary:
Crystal system: tetragonal
Energy relative to the elements, uncorrected: -1.9 eV per formula unit
SG: I4_1md
Total moment: 7.1 μB per formula unit

Entry 4:
A crystal of KZrF2 relaxed with PBEsol. Source: the Alexandria database, functional meta-GGA SCAN.

Lattice parameters (Å, degrees): 5.9061 6.2592 5.9061 118.15 90.00 118.15
With the nearest neighbours (Å) after each atom.
Fractional coordinates of all 8 atoms:
F1 0.9190 0.2500 0.8750  2 Zr 2.24
F2 0.6250 0.7500 0.0810  2 Zr 2.24
F3 0.1250 0.7500 0.6690  2 Zr 2.24
F4 0.3310 0.2500 0.3750  2 Zr 2.24
Zr1 0.2500 0.5000 0.7500  4 F 2.24
Zr2 0.0000 0.0000 0.0000  4 F 2.24
K1 0.5000 0.0000 0.5000  4 F 2.56
K2 0.7500 0.5000 0.2500  4 F 2.56

Summary:
Crystal system: tetragonal
Energy relative to the elements, uncorrected: -7.7 eV per formula unit
SG: I-42d
Total moment: 2.8 μB per formula unit